Record 1
Entry from Alexandria: an optimized crystal structure of ReAsOs (GGA-PBE).

Cell and atoms, written as extended XYZ:
```
3
Lattice="-1.3652 -2.5379 -3.5881 3.3353 -1.1200 -2.9666 -1.2876 -0.3532 4.4041" Properties=species:S:1:pos:R:3 pbc="T T T"
Os 0.6394 -1.1873 -2.1275
As 0.0000 -0.0001 -0.0001
Re 1.3304 -2.4702 -4.4265
```

Output
VASP energy (eV per atom): -8.977
SG: Imm2, No. 44
Size of the total moment (μB/f.u.): 0.00
ΔE to the lowest computed polymorph (eV/atom): 0.194

=====

Record 2
Entry from Alexandria: an optimized crystal structure of Cd2P2Rh (GGA-PBE).

Cell and atoms, written as extended XYZ:
```
10
Lattice="5.9221 0.0000 0.0000 0.0000 5.9221 0.0000 0.0000 0.0000 5.2797" Properties=species:S:1:pos:R:3 pbc="T T T"
Cd 1.8681 1.0930 2.6398
Cd 4.0540 4.8291 2.6398
Cd 4.8291 1.8681 2.6398
Cd 1.0930 4.0540 2.6398
P 0.7754 2.1856 0.0000
P 5.1467 3.7365 0.0000
P 2.1856 5.1467 0.0000
P 3.7365 0.7754 0.0000
Rh 0.0000 0.0000 0.0000
Rh 2.9610 2.9610 0.0000
```

Output
VASP energy (eV per atom): -4.144
SG: P4/mbm, No. 127
Size of the total moment (μB/f.u.): 0.00

=====

Record 3
Entry from Alexandria: an optimized crystal structure of Ce2ScSn (GGA-PBE).

Cell and atoms, written as extended XYZ:
```
4
Lattice="5.4013 0.0000 0.0000 2.7007 4.6777 0.0000 2.7007 1.5592 4.4102" Properties=species:S:1:pos:R:3 pbc="T T T"
Ce 8.1020 4.6777 3.3076
Ce 2.7007 1.5592 1.1025
Sn 5.4013 3.1185 2.2051
Sc 0.0000 0.0000 0.0000
```

Output
VASP energy (eV per atom): -5.716
SG: Fm-3m, No. 225
Size of the total moment (μB/f.u.): 3.58
ΔE to the lowest computed polymorph (eV/atom): 0.269

=====

Record 4
Entry from Alexandria: an optimized crystal structure of VBiS2Cl (GGA-PBE).

Cell and atoms, written as extended XYZ:
```
5
Lattice="4.7704 0.0000 0.0000 0.0000 4.7704 0.0000 0.0000 0.0000 4.6638" Properties=species:S:1:pos:R:3 pbc="T T T"
Cl 0.0000 0.0000 2.3319
Bi 2.3852 2.3852 2.3319
S 0.0000 2.3852 0.0000
S 2.3852 0.0000 0.0000
V 0.0000 0.0000 0.0000
```

Output
Energy relative to the elements, uncorrected (eV per atom): -0.328
VASP energy (eV per atom): -4.949
SG: P4/mmm, No. 123
Size of the total moment (μB/f.u.): 2.70
ΔE to the lowest computed polymorph (eV/atom): 0.000

=====

Record 5
Entry from Alexandria: an optimized crystal structure of ThB4Ir4 (GGA-PBE).

Cell and atoms, written as extended XYZ:
```
18
Lattice="-0.3954 -2.9591 -4.5615 -2.4012 -4.0084 2.8084 -6.7979 3.0837 -1.4111" Properties=species:S:1:pos:R:3 pbc="T T T"
B -2.6027 -0.9236 -3.5435
B -2.4679 0.0852 -1.9884
B -5.2516 0.7024 -0.0004
B -6.0703 -0.6641 0.9571
B -7.9261 -2.2024 -1.1419
B -6.3436 0.4394 -2.9928
B -2.3294 -2.0271 0.4063
B -2.5900 -3.9774 -2.6001
Ir -4.2227 -1.8977 1.5971
Ir -4.4711 1.2374 -2.0567
Ir -2.9758 -4.0525 -0.3708
Ir -3.0315 0.0907 0.2039
Ir -7.1241 -0.0956 -0.9365
Ir -4.6672 -0.2305 -4.3196
Ir -7.3234 -1.5867 -3.2351
Ir -1.7658 -2.0326 -1.7860
Th 0.0000 0.0000 0.0000
Th -4.7973 -1.9419 -1.5821
```

Output
VASP energy (eV per atom): -8.241
SG: P4_2/nmc, No. 137
Size of the total moment (μB/f.u.): 0.00
ΔE to the lowest computed polymorph (eV/atom): 0.057

=====

Record 6
Entry from Alexandria: an optimized crystal structure of RbCrCl3 (GGA-PBE).

Cell and atoms, written as extended XYZ:
```
10
Lattice="0.2917 5.9710 5.5543 -1.7981 -0.1556 7.9581 4.8682 0.8853 6.4889" Properties=species:S:1:pos:R:3 pbc="T T T"
Cl 2.7231 6.2714 10.3723
Cl 3.7648 1.7674 11.7061
Cl 4.1326 3.3442 8.0652
Cl -0.4030 4.9333 8.2952
Cl -0.7709 3.3565 11.9361
Cl 0.6386 0.4293 9.6290
Rb 2.1488 4.2830 12.7845
Rb 1.2130 2.4177 7.2168
Cr 2.8081 5.5973 16.7074
Cr 0.5536 1.1035 3.2939
```

Output
Energy relative to the elements, uncorrected (eV per atom): -1.294
VASP energy (eV per atom): -4.520
SG: R-3, No. 148
Size of the total moment (μB/f.u.): 4.00